# NaP2Rh5 | Alexandria | PBE-GGA | relaxed
# Total magnetic moment   0.0 μB/f.u.
# Fermi-level density of states   11.27 states/eV per cell
# Final energy   -6.590 eV/atom
data_NaP2Rh5
_chemical_formula_sum 'Na2 P4 Rh10'
_symmetry_space_group_name_H-M 'I m m m'
_symmetry_Int_Tables_number 71
_symmetry_space_group_name_Hall '-I 2 2'
_cell_length_a 3.7481
_cell_length_b 6.6762
_cell_length_c 9.9176
_cell_angle_alpha 90.00
_cell_angle_beta 90.00
_cell_angle_gamma 90.00
loop_
_atom_site_label
_atom_site_type_symbol
_atom_site_fract_x
_atom_site_fract_y
_atom_site_fract_z
Na1 Na 0.0000 0.0000 0.0000
P1 P 0.0000 0.5000 0.2322
Rh1 Rh 0.0000 0.2039 0.3487
Rh2 Rh 0.0000 0.5000 0.0000